Crystalline LiZnHRh2 at its relaxed geometry, computed with GGA-PBE.

Cell: 3.8679 3.8679 3.8646 Å, 90.00 90.00 90.00°
Space group P4/mmm (No. 123)
Asymmetric unit:
Li1 0.0000 0.0000 0.0000 (multiplicity 1)
Zn1 0.5000 0.5000 0.0000 (multiplicity 1)
H1 0.5000 0.5000 0.5000 (multiplicity 1)
Rh1 0.0000 0.5000 0.5000 (multiplicity 2)

Summary:
ΔE to the lowest computed polymorph = 143 meV per atom
total moment = 0.00 μB per cell
density = 8018 kg/m3
DOS(E_F) = 0.819 states/eV per atom